# 1
Material: CaHgBiRh
Method: DFT, PBE
State: relaxed

The space group is F-43m (No. 216) and the conventional cell measures 7.067, 7.067 and 7.067 Å, with angles of 90.00, 90.00 and 90.00 degrees. Symmetry generates all atoms from Ca at (0.000, 0.000, 0.000), Hg at (0.250, 0.250, 0.750), Bi at (0.250, 0.250, 0.250) and Rh at (0.000, 0.000, 0.500).

The density of states at the Fermi level comes out at 1.6 states/eV/f.u. Its energy of formation from the pure elements is -0.27 eV per atom. As for the total moment: 0.00 μB per cell.

# 2
Material: LiGe2Pd2
Method: DFT, PBE
State: relaxed

The space group is P4/mbm (No. 127) and the conventional cell measures 7.345, 7.345 and 3.034 Å, with angles of 90.00, 90.00 and 90.00 degrees. Symmetry generates all atoms from Li at (0.000, 0.000, 0.000), Ge at (0.149, 0.351, 0.000) and Pd at (0.149, 0.649, 0.500).

The density of states at the Fermi level comes out at 1.6 states/eV/f.u. Its energy of formation from the pure elements is -0.41 eV per atom. The relative energy among the computed polymorphs comes out at 0.30 eV per formula unit. As for the total moment: 0.00 μB per cell.

# 3
Material: TaV2PdN
Method: DFT, PBE
State: relaxed

The space group is P4/mmm (No. 123) and the conventional cell measures 3.941, 3.941 and 4.259 Å, with angles of 90.00, 90.00 and 90.00 degrees. Symmetry generates all atoms from Ta at (0.000, 0.000, 0.000), V at (0.000, 0.500, 0.500), Pd at (0.500, 0.500, 0.000) and N at (0.000, 0.000, 0.500).

The density of states at the Fermi level comes out at 4.0 states/eV/f.u. Its raw formation energy is -0.60 eV per atom. As for the total moment: 0.00 μB per cell.

# 4
Material: Ca2AlTlSi
Method: DFT, PBE
State: relaxed

The space group is P4/mmm (No. 123) and the conventional cell measures 5.572, 5.572 and 5.279 Å, with angles of 90.00, 90.00 and 90.00 degrees. Symmetry generates all atoms from Ca at (0.000, 0.500, 0.000), Al at (0.000, 0.000, 0.500), Tl at (0.500, 0.500, 0.500) and Si at (0.500, 0.500, 0.000).

The density of states at the Fermi level comes out at 4.5 states/eV/f.u. Its raw formation energy is 0.19 eV per atom. As for the total moment: 0.00 μB per cell.

> Among the records above, which one has the highest density of states at the Fermi level?

Ca2AlTlSi

What did the third record say?
Material: TaV2PdN
Method: DFT, PBE
State: relaxed

The space group is P4/mmm (No. 123) and the conventional cell measures 3.941, 3.941 and 4.259 Å, with angles of 90.00, 90.00 and 90.00 degrees. Symmetry generates all atoms from Ta at (0.000, 0.000, 0.000), V at (0.000, 0.500, 0.500), Pd at (0.500, 0.500, 0.000) and N at (0.000, 0.000, 0.500).

The density of states at the Fermi level comes out at 4.0 states/eV/f.u. Its raw formation energy is -0.60 eV per atom. As for the total moment: 0.00 μB per cell.

Repeat the first record exactly.
Material: CaHgBiRh
Method: DFT, PBE
State: relaxed

The space group is F-43m (No. 216) and the conventional cell measures 7.067, 7.067 and 7.067 Å, with angles of 90.00, 90.00 and 90.00 degrees. Symmetry generates all atoms from Ca at (0.000, 0.000, 0.000), Hg at (0.250, 0.250, 0.750), Bi at (0.250, 0.250, 0.250) and Rh at (0.000, 0.000, 0.500).

The density of states at the Fermi level comes out at 1.6 states/eV/f.u. Its energy of formation from the pure elements is -0.27 eV per atom. As for the total moment: 0.00 μB per cell.